A geometry-optimized GdScSnAu structure. Source: Alexandria via LeMat-Bulk, functional GGA-PBE.

Calculated values
Its density of states at the Fermi level is 3.5 states/eV/cell. For the total energy, the calculation gives -30.5 eV/cell. The value obtained for the calculated density is 9.13 g/cm³. As for the space group: F-43m (216). Its formation energy is -0.691 eV per atom.

Geometry as POSCAR:
```
GdScSnAu
1.0
0.000 3.611 3.611
3.611 0.000 3.611
3.611 3.611 0.000
Gd Sc Sn Au
1 1 1 1
Cartesian
0.000 0.000 0.000 Gd
3.611 3.611 3.611 Sc
5.417 5.417 5.417 Sn
1.806 1.806 1.806 Au
```